[1]
# Ca11Pd4Au9 | the Alexandria database | PBE-GGA | optimized geometry
# DFT total energy: -3.757 eV/atom
data_Ca11Pd4Au9
_chemical_formula_sum 'Ca22 Pd8 Au18'
_symmetry_space_group_name_H-M 'C m m m'
_symmetry_Int_Tables_number 65
_symmetry_space_group_name_Hall '-C 2 2'
_cell_length_a 14.145
_cell_length_b 21.241
_cell_length_c 3.713
_cell_angle_alpha 90.00
_cell_angle_beta 90.00
_cell_angle_gamma 90.00
loop_
_atom_site_label
_atom_site_fract_x
_atom_site_fract_y
_atom_site_fract_z
_atom_site_occupancy
Ca1 0.000 0.000 0.000 1
Ca2 0.000 0.167 0.000 1
Ca3 0.000 0.367 0.000 1
Ca4 0.209 0.500 0.000 1
Ca5 0.241 0.172 0.000 1
Pd1 0.148 0.403 0.500 1
Au1 0.000 0.500 0.500 1
Au2 0.108 0.263 0.500 1
Au3 0.140 0.075 0.500 1

---

[2]
# CaPd6Au6 | the Alexandria database | PBE-GGA | optimized geometry
# DFT total energy: -4.287 eV/atom
data_CaPd6Au6
_chemical_formula_sum 'Ca2 Pd12 Au12'
_symmetry_space_group_name_H-M 'I m m m'
_symmetry_Int_Tables_number 71
_symmetry_space_group_name_Hall '-I 2 2'
_cell_length_a 5.438
_cell_length_b 9.284
_cell_length_c 9.336
_cell_angle_alpha 90.00
_cell_angle_beta 90.00
_cell_angle_gamma 90.00
loop_
_atom_site_label
_atom_site_fract_x
_atom_site_fract_y
_atom_site_fract_z
_atom_site_occupancy
Ca1 0.000 0.000 0.000 1
Pd1 0.000 0.267 0.500 1
Pd2 0.250 0.250 0.250 1
Au1 0.000 0.000 0.346 1
Au2 0.000 0.338 0.000 1
Au3 0.000 0.500 0.303 1

---

[3]
# CaPdAu | the Alexandria database | PBE-GGA | optimized geometry
# offset from the most stable computed form: 0.000 eV/atom
# DFT total energy: -4.215 eV/atom
data_CaPdAu
_chemical_formula_sum 'Ca4 Pd4 Au4'
_symmetry_space_group_name_H-M 'I m m a'
_symmetry_Int_Tables_number 74
_symmetry_space_group_name_Hall '-I 2b 2'
_cell_length_a 5.598
_cell_length_b 5.608
_cell_length_c 7.827
_cell_angle_alpha 90.00
_cell_angle_beta 90.00
_cell_angle_gamma 90.00
loop_
_atom_site_label
_atom_site_fract_x
_atom_site_fract_y
_atom_site_fract_z
_atom_site_occupancy
Ca1 0.000 0.250 0.128 1
Pd1 0.000 0.000 0.500 1
Au1 0.250 0.250 0.750 1

---

[4]
# CaPd5Au6 | the Alexandria database | PBE-GGA | optimized geometry
# DFT total energy: -4.217 eV/atom
data_CaPd5Au6
_chemical_formula_sum 'Ca2 Pd10 Au12'
_symmetry_space_group_name_H-M 'C m m m'
_symmetry_Int_Tables_number 65
_symmetry_space_group_name_Hall '-C 2 2'
_cell_length_a 4.160
_cell_length_b 12.235
_cell_length_c 8.193
_cell_angle_alpha 90.00
_cell_angle_beta 90.00
_cell_angle_gamma 90.00
loop_
_atom_site_label
_atom_site_fract_x
_atom_site_fract_y
_atom_site_fract_z
_atom_site_occupancy
Ca1 0.000 0.000 0.000 1
Pd1 0.000 0.000 0.500 1
Pd2 0.000 0.331 0.000 1
Pd3 0.000 0.335 0.500 1
Au1 0.000 0.169 0.257 1
Au2 0.000 0.500 0.259 1

---

[5]
# Ca4Pd2Au3 | the Alexandria database | PBE-GGA | optimized geometry
# DFT total energy: -3.812 eV/atom
data_Ca4Pd2Au3
_chemical_formula_sum 'Ca4 Pd2 Au3'
_symmetry_space_group_name_H-M 'P -3 m 1'
_symmetry_Int_Tables_number 164
_symmetry_space_group_name_Hall '-P 3 2"'
_cell_length_a 4.9397
_cell_length_b 4.9397
_cell_length_c 9.5706
_cell_angle_alpha 90.00
_cell_angle_beta 90.00
_cell_angle_gamma 120.00
loop_
_atom_site_label
_atom_site_fract_x
_atom_site_fract_y
_atom_site_fract_z
_atom_site_occupancy
Ca1 0.0000 0.0000 0.1691 1
Ca2 0.3333 0.6667 0.6140 1
Pd1 0.3333 0.6667 0.2920 1
Au1 0.0000 0.0000 0.5000 1
Au2 0.3333 0.6667 0.9877 1

---

[6]
# CaPdAu2 | the Alexandria database | PBE-GGA | optimized geometry
# offset from the most stable computed form: 0.612 eV/atom
# DFT total energy: -3.423 eV/atom
data_CaPdAu2
_chemical_formula_sum 'Ca4 Pd4 Au8'
_symmetry_space_group_name_H-M 'P m m a'
_symmetry_Int_Tables_number 51
_cell_length_a 10.035
_cell_length_b 10.035
_cell_length_c 5.401
_cell_angle_alpha 90.00
_cell_angle_beta 90.00
_cell_angle_gamma 90.00
loop_
_symmetry_equiv_pos_as_xyz
'x,y,z'
'-x,-y,-z'
'-x+1/2,-y,z'
'x+1/2,y,-z'
'x+1/2,-y,-z'
'-x+1/2,y,z'
'-x,y,-z'
'x,-y,z'
loop_
_atom_site_label
_atom_site_fract_x
_atom_site_fract_y
_atom_site_fract_z
_atom_site_occupancy
Ca1 0.250 0.000 0.124 1
Ca2 0.250 0.500 0.374 1
Pd1 0.250 0.000 0.624 1
Pd2 0.250 0.500 0.874 1
Au1 0.000 0.000 0.500 1
Au2 0.000 0.500 0.000 1
Au3 0.250 0.250 0.750 1

---

[7]
# Ca3Pd4Au8 | the Alexandria database | PBE-GGA | optimized geometry
# DFT total energy: -4.016 eV/atom
data_Ca3Pd4Au8
_chemical_formula_sum 'Ca24 Pd32 Au64'
_symmetry_space_group_name_H-M 'F m -3 m'
_symmetry_Int_Tables_number 225
_symmetry_space_group_name_Hall '-F 4 2 3'
_cell_length_a 13.312
_cell_length_b 13.312
_cell_length_c 13.312
_cell_angle_alpha 90.00
_cell_angle_beta 90.00
_cell_angle_gamma 90.00
loop_
_atom_site_label
_atom_site_fract_x
_atom_site_fract_y
_atom_site_fract_z
_atom_site_occupancy
Ca1 0.000 0.000 0.218 1
Pd1 0.000 0.000 0.000 1
Pd2 0.000 0.000 0.500 1
Pd3 0.000 0.250 0.250 1
Au1 0.120 0.120 0.380 1
Au2 0.167 0.167 0.167 1

---

[8]
# Ca3Pd2Au3 | the Alexandria database | PBE-GGA | optimized geometry
# DFT total energy: -3.967 eV/atom
data_Ca3Pd2Au3
_chemical_formula_sum 'Ca12 Pd8 Au12'
_symmetry_space_group_name_H-M 'C m c m'
_symmetry_Int_Tables_number 63
_symmetry_space_group_name_Hall '-C 2c 2'
_cell_length_a 4.379
_cell_length_b 10.812
_cell_length_c 15.504
_cell_angle_alpha 90.00
_cell_angle_beta 90.00
_cell_angle_gamma 90.00
loop_
_atom_site_label
_atom_site_fract_x
_atom_site_fract_y
_atom_site_fract_z
_atom_site_occupancy
Ca1 0.000 0.082 0.100 1
Ca2 0.000 0.351 0.250 1
Pd1 0.000 0.219 0.613 1
Au1 0.000 0.373 0.750 1
Au2 0.000 0.386 0.041 1

---

[9]
# CaPd3Au | the Alexandria database | PBE-GGA | optimized geometry
# offset from the most stable computed form: 0.000 eV/atom
# DFT total energy: -4.609 eV/atom
data_CaPd3Au
_chemical_formula_sum 'Ca4 Pd12 Au4'
_symmetry_space_group_name_H-M 'I m m a'
_symmetry_Int_Tables_number 74
_symmetry_space_group_name_Hall '-I 2b 2'
_cell_length_a 5.332
_cell_length_b 7.514
_cell_length_c 9.607
_cell_angle_alpha 90.00
_cell_angle_beta 90.00
_cell_angle_gamma 90.00
loop_
_atom_site_label
_atom_site_fract_x
_atom_site_fract_y
_atom_site_fract_z
_atom_site_occupancy
Ca1 0.000 0.250 0.000 1
Pd1 0.000 0.250 0.294 1
Pd2 0.250 0.066 0.750 1
Au1 0.000 0.000 0.500 1

---

[10]
# CaPd6Au2 | the Alexandria database | PBE-GGA | optimized geometry
# offset from the most stable computed form: 0.226 eV/atom
# DFT total energy: -4.473 eV/atom
data_CaPd6Au2
_chemical_formula_sum 'Ca1 Pd6 Au2'
_symmetry_space_group_name_H-M 'P 6/m m m'
_symmetry_Int_Tables_number 191
_symmetry_space_group_name_Hall '-P 6 2'
_cell_length_a 5.4318
_cell_length_b 5.4318
_cell_length_c 7.2026
_cell_angle_alpha 90.00
_cell_angle_beta 90.00
_cell_angle_gamma 120.00
loop_
_atom_site_label
_atom_site_fract_x
_atom_site_fract_y
_atom_site_fract_z
_atom_site_occupancy
Ca1 0.0000 0.0000 0.0000 1
Pd1 0.0000 0.5000 0.1847 1
Au1 0.3333 0.6667 0.5000 1

---

[11]
# Ca2Pd5Au12 | the Alexandria database | PBE-GGA | optimized geometry
# DFT total energy: -3.949 eV/atom
data_Ca2Pd5Au12
_chemical_formula_sum 'Ca6 Pd15 Au36'
_symmetry_space_group_name_H-M 'R -3 m'
_symmetry_Int_Tables_number 166
_symmetry_space_group_name_Hall '-R 3 2"'
_cell_length_a 9.5075
_cell_length_b 9.5075
_cell_length_c 14.0491
_cell_angle_alpha 90.00
_cell_angle_beta 90.00
_cell_angle_gamma 120.00
loop_
_atom_site_label
_atom_site_fract_x
_atom_site_fract_y
_atom_site_fract_z
_atom_site_occupancy
Ca1 0.0000 0.0000 0.1777 1
Pd1 0.0000 0.0000 0.4001 1
Pd2 0.0000 0.5000 0.0000 1
Au1 0.0000 0.3015 0.5000 1
Au2 0.0004 0.5002 0.3490 1

---

[12]
# Ca4Pd2Au | the Alexandria database | PBE-GGA | optimized geometry
# DFT total energy: -3.727 eV/atom
data_Ca4Pd2Au
_chemical_formula_sum 'Ca12 Pd6 Au3'
_symmetry_space_group_name_H-M 'R -3 m'
_symmetry_Int_Tables_number 166
_symmetry_space_group_name_Hall '-R 3 2"'
_cell_length_a 5.0455
_cell_length_b 5.0455
_cell_length_c 24.6181
_cell_angle_alpha 90.00
_cell_angle_beta 90.00
_cell_angle_gamma 120.00
loop_
_atom_site_label
_atom_site_fract_x
_atom_site_fract_y
_atom_site_fract_z
_atom_site_occupancy
Ca1 0.0000 0.0000 0.1235 1
Ca2 0.0000 0.0000 0.3739 1
Pd1 0.0000 0.0000 0.2491 1
Au1 0.0000 0.0000 0.5000 1

---

[13]
# Ca2PdAu | the Alexandria database | PBE-GGA | optimized geometry
# DFT total energy: -3.886 eV/atom
data_Ca2PdAu
_chemical_formula_sum 'Ca4 Pd2 Au2'
_symmetry_space_group_name_H-M 'P 1 21/m 1'
_symmetry_Int_Tables_number 11
_cell_length_a 5.834
_cell_length_b 4.508
_cell_length_c 8.012
_cell_angle_alpha 90.00
_cell_angle_beta 110.09
_cell_angle_gamma 90.00
loop_
_symmetry_equiv_pos_as_xyz
'x,y,z'
'-x,-y,-z'
'-x,y+1/2,-z'
'x,-y+1/2,z'
loop_
_atom_site_label
_atom_site_fract_x
_atom_site_fract_y
_atom_site_fract_z
_atom_site_occupancy
Ca1 0.217 0.250 0.432 1
Ca2 0.224 0.250 0.928 1
Pd1 0.344 0.750 0.711 1
Au1 0.340 0.750 0.211 1

---

[14]
# CaPd2Au10 | the Alexandria database | PBE-GGA | optimized geometry
# DFT total energy: -3.678 eV/atom
data_CaPd2Au10
_chemical_formula_sum 'Ca1 Pd2 Au10'
_symmetry_space_group_name_H-M 'P -1'
_symmetry_Int_Tables_number 2
_cell_length_a 5.679
_cell_length_b 7.212
_cell_length_c 7.212
_cell_angle_alpha 80.92
_cell_angle_beta 66.83
_cell_angle_gamma 67.06
loop_
_symmetry_equiv_pos_as_xyz
'x,y,z'
'-x,-y,-z'
loop_
_atom_site_label
_atom_site_fract_x
_atom_site_fract_y
_atom_site_fract_z
_atom_site_occupancy
Ca1 0.000 0.000 0.000 1
Pd1 0.000 0.000 0.500 1
Pd2 0.500 0.000 0.500 1
Au1 0.000 0.500 0.000 1
Au2 0.008 0.335 0.652 1
Au3 0.285 0.213 0.218 1
Au4 0.340 0.664 0.652 1
Au5 0.498 0.784 0.221 1
Au6 0.500 0.500 0.000 1

---

[15]
# Ca2PdPt2Au5 | the Alexandria database | PBE-GGA | optimized geometry
# DFT total energy: -4.265 eV/atom
data_Ca2PdPt2Au5
_chemical_formula_sum 'Ca4 Pd2 Pt4 Au10'
_symmetry_space_group_name_H-M 'P 4/m b m'
_symmetry_Int_Tables_number 127
_symmetry_space_group_name_Hall '-P 4 2ab'
_cell_length_a 9.681
_cell_length_b 9.681
_cell_length_c 4.226
_cell_angle_alpha 90.00
_cell_angle_beta 90.00
_cell_angle_gamma 90.00
loop_
_atom_site_label
_atom_site_fract_x
_atom_site_fract_y
_atom_site_fract_z
_atom_site_occupancy
Ca1 0.173 0.327 0.000 1
Pd1 0.000 0.000 0.000 1
Pt1 0.126 0.626 0.000 1
Au1 0.000 0.500 0.500 1
Au2 0.063 0.802 0.500 1

---

[16]
# CaPdPtAu | the Alexandria database | PBE-GGA | optimized geometry
# DFT total energy: -4.600 eV/atom
data_CaPdPtAu
_chemical_formula_sum 'Ca4 Pd4 Pt4 Au4'
_symmetry_space_group_name_H-M 'F -4 3 m'
_symmetry_Int_Tables_number 216
_symmetry_space_group_name_Hall 'F -4 2 3'
_cell_length_a 6.674
_cell_length_b 6.674
_cell_length_c 6.674
_cell_angle_alpha 90.00
_cell_angle_beta 90.00
_cell_angle_gamma 90.00
loop_
_atom_site_label
_atom_site_fract_x
_atom_site_fract_y
_atom_site_fract_z
_atom_site_occupancy
Ca1 0.000 0.000 0.000 1
Pd1 0.250 0.250 0.750 1
Pt1 0.250 0.250 0.250 1
Au1 0.000 0.000 0.500 1

---

[17]
# Ca2Pd5PtAu2 | the Alexandria database | PBE-GGA | optimized geometry
# DFT total energy: -4.671 eV/atom
data_Ca2Pd5PtAu2
_chemical_formula_sum 'Ca4 Pd10 Pt2 Au4'
_symmetry_space_group_name_H-M 'P 4/m b m'
_symmetry_Int_Tables_number 127
_symmetry_space_group_name_Hall '-P 4 2ab'
_cell_length_a 9.649
_cell_length_b 9.649
_cell_length_c 4.062
_cell_angle_alpha 90.00
_cell_angle_beta 90.00
_cell_angle_gamma 90.00
loop_
_atom_site_label
_atom_site_fract_x
_atom_site_fract_y
_atom_site_fract_z
_atom_site_occupancy
Ca1 0.172 0.328 0.000 1
Pd1 0.000 0.500 0.500 1
Pd2 0.059 0.804 0.500 1
Pt1 0.000 0.000 0.000 1
Au1 0.128 0.628 0.000 1

---

[18]
# Ca2Pd5Pt2Au | the Alexandria database | PBE-GGA | optimized geometry
# DFT total energy: -4.988 eV/atom
data_Ca2Pd5Pt2Au
_chemical_formula_sum 'Ca4 Pd10 Pt4 Au2'
_symmetry_space_group_name_H-M 'P 4/m b m'
_symmetry_Int_Tables_number 127
_symmetry_space_group_name_Hall '-P 4 2ab'
_cell_length_a 9.542
_cell_length_b 9.542
_cell_length_c 4.082
_cell_angle_alpha 90.00
_cell_angle_beta 90.00
_cell_angle_gamma 90.00
loop_
_atom_site_label
_atom_site_fract_x
_atom_site_fract_y
_atom_site_fract_z
_atom_site_occupancy
Ca1 0.171 0.329 0.000 1
Pd1 0.000 0.500 0.500 1
Pd2 0.066 0.800 0.500 1
Pt1 0.126 0.626 0.000 1
Au1 0.000 0.000 0.000 1